No. 1
The following is a PBE calculation of a relaxed structure of BaCu3Rh2, from Alexandria.

Calculated formation energy ... -0.05 eV/atom
SG ... Cmcm (63)
Total energy ... -4.87 eV per atom
DOS at the Fermi energy ... 0.701 states/eV per atom
Crystal system ... orthorhombic

Lattice parameters (Å, degrees): 6.663 6.663 5.210 90.00 90.00 78.26
Fractional positions:
1 Ba 0.180 0.820 0.750
2 Ba 0.820 0.180 0.250
3 Cu 0.035 0.562 0.250
4 Cu 0.428 0.572 0.250
5 Cu 0.438 0.965 0.250
6 Cu 0.562 0.035 0.750
7 Cu 0.572 0.428 0.750
8 Cu 0.965 0.438 0.750
9 Rh 0.293 0.293 0.000
10 Rh 0.293 0.293 0.500
11 Rh 0.707 0.707 0.000
12 Rh 0.707 0.707 0.500


No. 2
The following is a PBE calculation of a relaxed structure of BaCu2Rh3S8, from Alexandria.

Formation energy without anion corrections ... -0.4120 eV per atom
SG ... R3m (160)
Total energy ... -5.07 eV per atom
DOS at the Fermi energy ... 0.754 states/eV per atom
Crystal system ... trigonal

Lattice parameters (Å, degrees): 7.770 7.770 7.770 55.46 55.46 55.46
Fractional positions:
1 Ba 0.000 0.000 0.000
2 Cu 0.356 0.356 0.356
3 Cu 0.780 0.780 0.780
4 Rh 0.361 0.361 0.857
5 Rh 0.361 0.857 0.361
6 Rh 0.857 0.361 0.361
7 S 0.127 0.127 0.534
8 S 0.127 0.534 0.127
9 S 0.141 0.141 0.141
10 S 0.153 0.604 0.604
11 S 0.534 0.127 0.127
12 S 0.589 0.589 0.589
13 S 0.604 0.153 0.604
14 S 0.604 0.604 0.153


No. 3
The following is a PBE calculation of a relaxed structure of BaCuSbRh2, from Alexandria.

Formation energy without anion corrections ... 1.4930 eV per atom
SG ... P4/mmm (123)
Total energy ... -3.48 eV per atom
DOS at the Fermi energy ... 1.151 states/eV per atom
Crystal system ... tetragonal

Lattice parameters (Å, degrees): 5.109 5.109 5.212 90.00 90.00 90.00
Fractional positions:
1 Ba 0.000 0.000 0.000
2 Cu 0.000 0.000 0.500
3 Sb 0.500 0.500 0.500
4 Rh 0.000 0.500 0.000
5 Rh 0.500 0.000 0.000


No. 4
The following is a PBE calculation of a relaxed structure of Ba2Cu3Sb4Rh, from Alexandria.

Formation energy without anion corrections ... -0.4931 eV per atom
SG ... P-4m2 (115)
Total energy ... -4.49 eV per atom
DOS at the Fermi energy ... 0.395 states/eV per atom
Crystal system ... tetragonal

Lattice parameters (Å, degrees): 4.765 4.765 10.637 90.00 90.00 90.00
Fractional positions:
1 Ba 0.000 0.500 0.243
2 Ba 0.500 0.000 0.757
3 Cu 0.000 0.000 0.000
4 Cu 0.000 0.500 0.626
5 Cu 0.500 0.000 0.374
6 Sb 0.000 0.000 0.500
7 Sb 0.000 0.500 0.881
8 Sb 0.500 0.000 0.119
9 Sb 0.500 0.500 0.500
10 Rh 0.500 0.500 0.000